No. 1
Here is a relaxed Mg2BePtO6 crystal from Alexandria. Energies are from PBE-GGA.

Properties
ρ	5.070	Mg/m³
crystal system	tetragonal
uncorrected formation energy	-117.4	kJ/mol of atoms
total magnetization	2.17	μB per formula unit

Cell lengths 4.282, 5.164, 5.164 Å; angles 90.00, 90.00, 90.00 degrees
Site moments in Bohr magnetons follow the coordinates.
Atoms (fractional coordinates):
Mg  0.965  0.500  0.000  0.00
O  0.720  0.764  0.236  0.19
O  0.720  0.236  0.764  0.19
O  0.720  0.764  0.764  0.19
Be  0.585  0.000  0.000  -0.01
Pt  0.652  0.500  0.500  0.50
O  0.225  0.000  0.000  0.51
O  0.720  0.236  0.236  0.19
Mg  0.965  0.000  0.500  0.00
O  0.177  0.500  0.500  0.15



No. 2
Here is a relaxed Li2CeCd9 crystal from Alexandria. Energies are from PBE-GGA.

Properties
ρ	7.179	Mg/m³
DFT formation energy	-0.1484	eV/atom
crystal system	tetragonal
total magnetization	0.95	μB per formula unit

Cell lengths 4.555, 4.555, 12.993 Å; angles 90.00, 90.00, 90.00 degrees
Site moments in Bohr magnetons follow the coordinates.
Atoms (fractional coordinates):
Li  0.000  0.000  0.342  0.00
Cd  0.500  0.500  0.000  0.01
Ce  0.000  0.000  0.000  0.82
Cd  0.500  0.500  0.654  0.00
Cd  0.500  0.000  0.500  0.00
Cd  0.000  0.500  0.500  0.00
Li  0.000  0.000  0.658  0.00
Cd  0.000  0.500  0.814  0.00
Cd  0.500  0.500  0.346  0.00
Cd  0.500  0.000  0.186  0.00
Cd  0.000  0.500  0.186  0.00
Cd  0.500  0.000  0.814  0.00



No. 3
Here is a relaxed Al5As crystal from Alexandria. Energies are from PBE-GGA.

Properties
ρ	3.101	Mg/m³
DFT formation energy	0.2906	eV/atom
energy relative to the lowest polymorph listed for this composition	231	meV per atom
crystal system	hexagonal
total magnetization	0.00	μB per formula unit

Cell lengths 5.268, 5.268, 4.676 Å; angles 90.00, 90.00, 120.00 degrees
Atoms (fractional coordinates):
As  0.000  0.000  0.000
Al  0.500  0.000  0.500
Al  0.500  0.500  0.500
Al  0.333  0.667  0.000
Al  0.000  0.500  0.500
Al  0.667  0.333  0.000



No. 4
Here is a relaxed Ce5Pu2Tl2 crystal from Alexandria. Energies are from PBE-GGA.

Properties
ρ	11.572	Mg/m³
DFT formation energy	-0.0723	eV/atom
crystal system	tetragonal
total magnetization	6.13	μB per formula unit

Cell lengths 5.117, 5.117, 8.755 Å; angles 90.00, 90.00, 90.00 degrees
Site moments in Bohr magnetons follow the coordinates.
Atoms (fractional coordinates):
Pu  0.537  0.537  0.865  3.06
Ce  0.537  0.037  0.234  0.19
Pu  0.537  0.537  0.135  3.06
Tl  0.037  0.037  0.000  -0.03
Ce  0.537  0.537  0.500  -0.37
Ce  0.037  0.537  0.766  0.19
Ce  0.037  0.537  0.234  0.19
Ce  0.537  0.037  0.766  0.19
Tl  0.037  0.037  0.500  0.01